(1)
Here is Tm2Al4PdPt after structural relaxation from OQMD. Energies are from PBE.

Unit cell a=6.9423 b=5.4733 c=5.4733 alpha=45.80 beta=90.00 gamma=90.00
Fractional coordinates of all 8 atoms:
Al (0.1971, 0.1409, 0.1409)
Al (0.8029, 0.1409, 0.1409)
Al (0.3025, 0.8597, 0.8597)
Al (0.6975, 0.8597, 0.8597)
Pd (0.5000, 0.2888, 0.2888)
Pt (0.0000, 0.7112, 0.7112)
Tm (0.0000, 0.4275, 0.4275)
Tm (0.5000, 0.5711, 0.5711)

Results
DFT total energy	-42.34	eV/cell

(2)
Here is NiMo2N after structural relaxation from OQMD. Energies are from PBE.

Unit cell a=2.8017 b=2.8017 c=14.1608 alpha=90.00 beta=90.00 gamma=120.00
Fractional coordinates of all 8 atoms:
Mo (0.3333, 0.6667, 0.1003)
Mo (0.3333, 0.6667, 0.3997)
Mo (0.6667, 0.3333, 0.6003)
Mo (0.6667, 0.3333, 0.8997)
N (0.0000, 0.0000, 0.0000)
N (0.0000, 0.0000, 0.5000)
Ni (0.6667, 0.3333, 0.2500)
Ni (0.3333, 0.6667, 0.7500)

Results
DFT total energy	-70.91	eV/cell

(3)
Here is MgReNiB after structural relaxation from OQMD. Energies are from PBE.

Unit cell a=4.1313 b=4.1313 c=4.1313 alpha=60.00 beta=60.00 gamma=60.00
Fractional coordinates of all 4 atoms:
B (0.0000, 0.0000, 0.0000)
Mg (0.2500, 0.2500, 0.2500)
Ni (0.7500, 0.7500, 0.7500)
Re (0.5000, 0.5000, 0.5000)

Results
excess energy over the best structure of this formula in the dataset	0.603	eV/atom